Entry 1:
K4BaTe | PBE | relaxed

Output
SG: F-43m

a b c (Å): 7.7592 7.7592 7.7592
angles (deg): 60.00 60.00 60.00
Fractional coordinates of all 6 atoms:
K 0.3767 0.3767 0.3767
K 0.8699 0.3767 0.3767
K 0.3767 0.3767 0.8699
K 0.3767 0.8699 0.3767
Ba 0.0000 0.0000 0.0000
Te 0.7500 0.7500 0.7500

=====

Entry 2:
KBa2Te2 | PBE | relaxed

Output
SG: P4/mbm

a b c (Å): 9.7850 9.7850 4.3343
angles (deg): 90.00 90.00 90.00
Fractional coordinates of all 10 atoms:
K 0.5000 0.5000 0.0000
K 0.0000 0.0000 0.0000
Te 0.6600 0.8400 0.5000
Te 0.3400 0.1600 0.5000
Te 0.8400 0.3400 0.5000
Te 0.1600 0.6600 0.5000
Ba 0.6393 0.1393 0.0000
Ba 0.3607 0.8607 0.0000
Ba 0.1393 0.3607 0.0000
Ba 0.8607 0.6393 0.0000

=====

Entry 3:
KBa2Te | PBE | relaxed

Output
SG: F-43m

a b c (Å): 6.4398 6.4398 6.4398
angles (deg): 60.00 60.00 60.00
Fractional coordinates of all 4 atoms:
Ba 0.2500 0.2500 0.2500
Ba 0.0000 0.0000 0.0000
K 0.5000 0.5000 0.5000
Te 0.7500 0.7500 0.7500

=====

Entry 4:
KBaTe3 | PBE | relaxed

Output
SG: Pnna

a b c (Å): 6.9311 7.0935 15.8167
angles (deg): 90.00 90.00 90.00
Fractional coordinates of all 20 atoms:
Ba 0.7500 0.7500 0.0014
Ba 0.2500 0.7500 0.5014
Ba 0.2500 0.2500 0.9986
Ba 0.7500 0.2500 0.4986
Te 0.4124 0.0678 0.6613
Te 0.0876 0.4322 0.6613
Te 0.2500 0.7500 0.0363
Te 0.5876 0.0678 0.1613
Te 0.2500 0.2500 0.4637
Te 0.4124 0.9322 0.8387
Te 0.9124 0.5678 0.3387
Te 0.7500 0.7500 0.5363
Te 0.9124 0.4322 0.1613
Te 0.0876 0.5678 0.8387
Te 0.7500 0.2500 0.9637
Te 0.5876 0.9322 0.3387
K 0.0744 0.0000 0.2500
K 0.5744 0.5000 0.7500
K 0.4256 0.5000 0.2500
K 0.9256 0.0000 0.7500

=====

Entry 5:
KBaTe3 | PBE | relaxed

Output
SG: Pm-3m

a b c (Å): 6.0223 6.0223 6.0223
angles (deg): 90.00 90.00 90.00
Fractional coordinates of all 5 atoms:
Te 0.0000 0.0000 0.5000
Te 0.5000 0.0000 0.0000
Te 0.0000 0.5000 0.0000
K 0.0000 0.0000 0.0000
Ba 0.5000 0.5000 0.5000

=====

Entry 6:
KBaTe3 | PBE | relaxed

Output
SG: Pm-3m

a b c (Å): 6.6430 6.6430 6.6430
angles (deg): 90.00 90.00 90.00
Fractional coordinates of all 5 atoms:
Te 0.5000 0.0000 0.0000
Te 0.0000 0.5000 0.0000
Te 0.0000 0.0000 0.5000
K 0.5000 0.5000 0.5000
Ba 0.0000 0.0000 0.0000

=====

Entry 7:
KBa3Te4 | PBE | relaxed

Output
SG: Pm-3m

a b c (Å): 7.0858 7.0858 7.0858
angles (deg): 90.00 90.00 90.00
Fractional coordinates of all 8 atoms:
Te 0.0000 0.0000 0.5000
Te 0.5000 0.0000 0.0000
Te 0.5000 0.5000 0.5000
Te 0.0000 0.5000 0.0000
Ba 0.0000 0.5000 0.5000
Ba 0.5000 0.0000 0.5000
Ba 0.5000 0.5000 0.0000
K 0.0000 0.0000 0.0000

=====

Entry 8:
KBaTe4 | PBE | relaxed

Output
SG: F-43m

a b c (Å): 6.7275 6.7275 6.7275
angles (deg): 60.00 60.00 60.00
Fractional coordinates of all 6 atoms:
K 0.0000 0.0000 0.0000
Te 0.8750 0.3750 0.3750
Te 0.3750 0.8750 0.3750
Te 0.3750 0.3750 0.8750
Te 0.3750 0.3750 0.3750
Ba 0.7500 0.7500 0.7500

=====

Entry 9:
KBa2Te2 | PBE | relaxed

Output
SG: P4/mbm

a b c (Å): 9.4688 9.4688 4.6833
angles (deg): 90.00 90.00 90.00
Fractional coordinates of all 10 atoms:
Ba 0.3497 0.1503 0.5000
Ba 0.1503 0.6503 0.5000
Ba 0.6503 0.8497 0.5000
Ba 0.8497 0.3497 0.5000
K 0.5000 0.5000 0.0000
K 0.0000 0.0000 0.0000
Te 0.6531 0.1531 0.0000
Te 0.3469 0.8469 0.0000
Te 0.8469 0.6531 0.0000
Te 0.1531 0.3469 0.0000

=====

Entry 10:
KBa4Te | PBE | relaxed

Output
SG: F-43m

a b c (Å): 7.8160 7.8160 7.8160
angles (deg): 60.00 60.00 60.00
Fractional coordinates of all 6 atoms:
Ba 0.3739 0.3739 0.3739
Ba 0.8784 0.3739 0.3739
Ba 0.3739 0.8784 0.3739
Ba 0.3739 0.3739 0.8784
K 0.7500 0.7500 0.7500
Te 0.0000 0.0000 0.0000

=====

Entry 11:
KBa2Te | PBE | relaxed

Output
SG: I4/mmm

a b c (Å): 7.0476 7.0476 7.0476
angles (deg): 133.67 133.67 67.61
Fractional coordinates of all 4 atoms:
Ba 0.0000 0.0000 0.0000
Ba 0.5000 0.5000 0.0000
Te 0.7500 0.2500 0.5000
K 0.2500 0.7500 0.5000

=====

Entry 12:
KBaTe4 | PBE | relaxed

Output
SG: C2/m

a b c (Å): 5.5237 9.7683 6.7690
angles (deg): 55.57 114.08 90.00
Fractional coordinates of all 6 atoms:
Te 0.3049 0.9530 0.6098
Te 0.6951 0.0470 0.3902
Te 0.1988 0.5333 0.3976
Te 0.8012 0.4667 0.6024
Ba 0.0000 0.0000 0.0000
K 0.5000 0.5000 0.0000

=====

DOS at the Fermi energy in states/eV/cell, matching the order above: 6.2, 8.0, 6.1, 15.5, 10.5, 2.4, 9.6, 5.0, 2.2, 7.2, 4.4, 2.4
Raw formation energy in eV/f.u., matching the order above: -0.08, -5.83, -1.04, -4.73, -1.18, -1.91, -11.57, -3.35, -6.59, 0.24, -1.89, -4.83